# 1
Density functional theory data (PBE) for a relaxed Dy6GaPd2 crystal.

Properties
Total magnetization   0.00 μB/f.u.
Energy of formation from the pure elements   -4.9 eV/f.u.
Density of states at the Fermi level   34.361 states/eV/cell
V   25.97 Å³ per atom
Electronic total energy   -183.85 eV for the cell shown

Cell lengths 9.405, 9.691, 10.259 Å; angles 90.00, 90.00, 90.00 degrees
Space group Immm (No. 71)
Asymmetric unit:
Dy1 0.000 0.192 0.239 (multiplicity 8)
Dy2 0.202 0.500 0.171 (multiplicity 8)
Dy3 0.217 0.321 0.500 (multiplicity 8)
Ga1 0.000 0.000 0.000 (multiplicity 2)
Ga2 0.000 0.000 0.500 (multiplicity 2)
Pd1 0.000 0.343 0.000 (multiplicity 4)
Pd2 0.000 0.500 0.366 (multiplicity 4)



# 2
Density functional theory data (PBE) for a relaxed DyGa2Pd4 crystal.

Properties
Total magnetization   0.00 μB/f.u.
Energy of formation from the pure elements   -5.1 eV/f.u.
Density of states at the Fermi level   5.422 states/eV/cell
Offset from the most stable computed form   0.16 eV/f.u.
V   17.38 Å³ per atom
Electronic total energy   -73.15 eV for the cell shown

Cell lengths 7.854, 7.854, 3.944 Å; angles 90.00, 90.00, 90.00 degrees
Space group P4_2/mnm (No. 136)
Asymmetric unit:
Dy1 0.000 0.000 0.000 (multiplicity 2)
Ga1 0.222 0.222 0.500 (multiplicity 4)
Pd1 0.079 0.671 0.500 (multiplicity 8)



# 3
Density functional theory data (PBE) for a relaxed DyGa2Pd9 crystal.

Properties
Total magnetization   0.00 μB/f.u.
Energy of formation from the pure elements   -7.1 eV/f.u.
Density of states at the Fermi level   9.682 states/eV/cell
V   15.92 Å³ per atom
Electronic total energy   -64.50 eV for the cell shown

Cell lengths 4.026, 4.026, 11.789 Å; angles 90.00, 90.00, 90.00 degrees
Space group P4/mmm (No. 123)
Asymmetric unit:
Dy1 0.000 0.000 0.000 (multiplicity 1)
Ga1 0.000 0.000 0.342 (multiplicity 2)
Pd1 0.000 0.500 0.181 (multiplicity 4)
Pd2 0.000 0.500 0.500 (multiplicity 2)
Pd3 0.500 0.500 0.000 (multiplicity 1)
Pd4 0.500 0.500 0.339 (multiplicity 2)



# 4
Density functional theory data (PBE) for a relaxed Dy3Ga4Pd4 crystal.

Properties
Total magnetization   0.00 μB/f.u.
Energy of formation from the pure elements   -9.0 eV/f.u.
Density of states at the Fermi level   11.740 states/eV/cell
Offset from the most stable computed form   0.20 eV/f.u.
V   19.41 Å³ per atom
Electronic total energy   -111.43 eV for the cell shown

Cell lengths 3.620, 4.467, 26.404 Å; angles 90.00, 90.00, 90.00 degrees
Space group Immm (No. 71)
Asymmetric unit:
Dy1 0.000 0.000 0.000 (multiplicity 2)
Dy2 0.000 0.500 0.144 (multiplicity 4)
Ga1 0.000 0.000 0.451 (multiplicity 4)
Ga2 0.000 0.500 0.309 (multiplicity 4)
Pd1 0.000 0.000 0.258 (multiplicity 4)
Pd2 0.000 0.500 0.405 (multiplicity 4)



# 5
Density functional theory data (PBE) for a relaxed DyGa4Pd2 crystal.

Properties
Total magnetization   0.00 μB/f.u.
Energy of formation from the pure elements   -3.9 eV/f.u.
Density of states at the Fermi level   6.045 states/eV/cell
Offset from the most stable computed form   0.88 eV/f.u.
V   18.27 Å³ per atom
Electronic total energy   -61.98 eV for the cell shown

Cell lengths 7.902, 7.902, 4.097 Å; angles 90.00, 90.00, 90.00 degrees
Space group P4_2/mnm (No. 136)
Asymmetric unit:
Dy1 0.000 0.000 0.000 (multiplicity 2)
Ga1 0.082 0.327 0.500 (multiplicity 8)
Pd1 0.217 0.783 0.500 (multiplicity 4)



# 6
Density functional theory data (PBE) for a relaxed Dy3GaPd3 crystal.

Properties
Total magnetization   0.00 μB/f.u.
Energy of formation from the pure elements   -6.0 eV/f.u.
Density of states at the Fermi level   19.490 states/eV/cell
V   21.57 Å³ per atom
Electronic total energy   -153.52 eV for the cell shown

Cell lengths 4.080, 10.307, 14.362 Å; angles 90.00, 90.00, 90.00 degrees
Space group Cmcm (No. 63)
Asymmetric unit:
Dy1 0.000 0.019 0.250 (multiplicity 4)
Dy2 0.000 0.295 0.102 (multiplicity 8)
Ga1 0.000 0.000 0.000 (multiplicity 4)
Pd1 0.000 0.257 0.750 (multiplicity 4)
Pd2 0.000 0.418 0.594 (multiplicity 8)



# 7
Density functional theory data (PBE) for a relaxed Dy3Ga12Pd crystal.

Properties
Total magnetization   0.00 μB/f.u.
Energy of formation from the pure elements   -7.2 eV/f.u.
Density of states at the Fermi level   6.456 states/eV/cell
V   18.77 Å³ per atom
Electronic total energy   -62.52 eV for the cell shown

Cell lengths 4.293, 4.293, 16.296 Å; angles 90.00, 90.00, 90.00 degrees
Space group P4/mmm (No. 123)
Asymmetric unit:
Dy1 0.000 0.000 0.000 (multiplicity 1)
Dy2 0.000 0.000 0.264 (multiplicity 2)
Ga1 0.000 0.500 0.131 (multiplicity 4)
Ga2 0.000 0.500 0.393 (multiplicity 4)
Ga3 0.500 0.500 0.000 (multiplicity 1)
Ga4 0.500 0.500 0.257 (multiplicity 2)
Ga5 0.500 0.500 0.500 (multiplicity 1)
Pd1 0.000 0.000 0.500 (multiplicity 1)



# 8
Density functional theory data (PBE) for a relaxed Dy2GaPd crystal.

Properties
Total magnetization   0.00 μB/f.u.
Energy of formation from the pure elements   -3.0 eV/f.u.
Density of states at the Fermi level   2.381 states/eV/cell
V   22.20 Å³ per atom
Electronic total energy   -20.38 eV for the cell shown

Cell lengths 3.506, 3.506, 7.225 Å; angles 90.00, 90.00, 90.00 degrees
Space group P4/mmm (No. 123)
Asymmetric unit:
Dy1 0.000 0.000 0.242 (multiplicity 2)
Ga1 0.500 0.500 0.500 (multiplicity 1)
Pd1 0.500 0.500 0.000 (multiplicity 1)